Record 1
MnTl4, optimized geometry, DFT GGA-PBE; E_form = 0.300 eV per atom; space group = Pm-3m; total magnetization = 2.03 μB/f.u.; raw total energy = -3.43 eV per atom
1.0
5.252 0.000 0.000
0.000 5.252 0.000
0.000 0.000 5.252
Tl Mn
4 1
direct
0.000 0.000 0.000
0.500 0.000 0.500
0.000 0.500 0.500
0.500 0.500 0.000
0.500 0.500 0.500

Record 2
Sc2SnC, optimized geometry, DFT GGA-PBE; E_form = -0.673 eV per atom; space group = R-3m; total magnetization = 0.00 μB/f.u.; raw total energy = -7.15 eV per atom
1.0
-3.309 0.597 0.387
1.945 -0.569 2.710
1.186 7.483 -1.394
Sc Sn C
2 1 1
direct
0.279 0.058 0.337
0.721 0.942 0.663
0.500 0.500 0.000
0.000 0.500 0.500

Record 3
AcDyBiSb, optimized geometry, DFT GGA-PBE; space group = R-3m; total magnetization = 0.00 μB/f.u.; raw total energy = -4.79 eV per atom; raw formation energy = -234 kJ/mol of formula units
1.0
5.502 0.000 0.000
2.751 4.765 0.000
2.751 1.588 12.561
Ac Dy Bi Sb
2 2 2 2
direct
0.792 0.792 0.623
0.208 0.208 0.377
0.622 0.622 0.134
0.378 0.378 0.866
0.704 0.704 0.889
0.296 0.296 0.111
0.113 0.113 0.660
0.887 0.887 0.340

Record 4
Tl5BiO4, optimized geometry, DFT GGA-PBE; space group = C2/m; total magnetization = 0.00 μB/f.u.; raw total energy = -4.25 eV per atom; raw formation energy = -674 kJ/mol of formula units
1.0
3.584 0.000 0.000
0.000 7.638 0.042
-1.792 -1.979 8.218
Tl Bi O
5 1 4
direct
0.167 0.299 0.334
0.160 0.824 0.320
0.840 0.176 0.680
0.500 0.500 0.000
0.833 0.701 0.666
0.500 0.000 0.000
0.647 0.043 0.294
0.013 0.220 0.027
0.353 0.957 0.706
0.987 0.780 0.973

Which formula does entry 3 have?
AcDyBiSb